Compound: Ca2ZnGeO
Source: Alexandria
Functional: PBE
Structure: relaxed

Summary:
formation energy (no corrections) = -0.20 eV per atom
total magnetic moment = 0.0 μB/cell

Unit cell a=5.871 b=5.871 c=3.931 alpha=90.00 beta=90.00 gamma=90.00
Space group P4/mmm (No. 123)
Inequivalent atoms, fractional coordinates:
Ca 0.000 0.500 0.000 [2 per cell]
Zn 0.000 0.000 0.500 [1 per cell]
Ge 0.500 0.500 0.000 [1 per cell]
O 0.500 0.500 0.500 [1 per cell]